(1)
{
  "formula": "DyHoAlPt",
  "functional": "GGA-PBE",
  "state": "relaxed",
  "lattice_angstrom": [[7.0952, 0.0000, 0.0000], [0.0000, 7.0952, 0.0000], [0.0000, 0.0000, 7.0952]],
  "species": ["Dy", "Dy", "Dy", "Dy", "Ho", "Ho", "Ho", "Ho", "Al", "Al", "Al", "Al", "Pt", "Pt", "Pt", "Pt"],
  "fractional_positions": [[0.0000, 0.0000, 0.0000], [0.0000, 0.5000, 0.5000], [0.5000, 0.0000, 0.5000], [0.5000, 0.5000, 0.0000], [0.0000, 0.0000, 0.5000], [0.0000, 0.5000, 0.0000], [0.5000, 0.0000, 0.0000], [0.5000, 0.5000, 0.5000], [0.2500, 0.2500, 0.2500], [0.2500, 0.7500, 0.7500], [0.7500, 0.2500, 0.7500], [0.7500, 0.7500, 0.2500], [0.2500, 0.2500, 0.7500], [0.2500, 0.7500, 0.2500], [0.7500, 0.2500, 0.2500], [0.7500, 0.7500, 0.7500]],
  "magmom_total_mub_per_atom": 0.000,
  "sg": "F-43m (216)",
  "dft_energy_ev_per_atom": -5.485
}

(2)
{
  "formula": "DyHoAlRh",
  "functional": "GGA-PBE",
  "state": "relaxed",
  "lattice_angstrom": [[7.0434, 0.0000, 0.0000], [0.0000, 7.0434, 0.0000], [0.0000, 0.0000, 7.0434]],
  "species": ["Dy", "Dy", "Dy", "Dy", "Ho", "Ho", "Ho", "Ho", "Al", "Al", "Al", "Al", "Rh", "Rh", "Rh", "Rh"],
  "fractional_positions": [[0.0000, 0.0000, 0.0000], [0.0000, 0.5000, 0.5000], [0.5000, 0.0000, 0.5000], [0.5000, 0.5000, 0.0000], [0.0000, 0.0000, 0.5000], [0.0000, 0.5000, 0.0000], [0.5000, 0.0000, 0.0000], [0.5000, 0.5000, 0.5000], [0.2500, 0.2500, 0.7500], [0.2500, 0.7500, 0.2500], [0.7500, 0.2500, 0.2500], [0.7500, 0.7500, 0.7500], [0.2500, 0.2500, 0.2500], [0.2500, 0.7500, 0.7500], [0.7500, 0.2500, 0.7500], [0.7500, 0.7500, 0.2500]],
  "magmom_total_mub_per_atom": 0.000,
  "sg": "F-43m (216)",
  "dft_energy_ev_per_atom": -5.636
}

(3)
{
  "formula": "DyHoAlRu",
  "functional": "GGA-PBE",
  "state": "relaxed",
  "lattice_angstrom": [[6.9914, 0.0000, 0.0000], [0.0000, 6.9914, 0.0000], [0.0000, 0.0000, 6.9914]],
  "species": ["Dy", "Dy", "Dy", "Dy", "Ho", "Ho", "Ho", "Ho", "Al", "Al", "Al", "Al", "Ru", "Ru", "Ru", "Ru"],
  "fractional_positions": [[0.0000, 0.0000, 0.0000], [0.0000, 0.5000, 0.5000], [0.5000, 0.0000, 0.5000], [0.5000, 0.5000, 0.0000], [0.0000, 0.0000, 0.5000], [0.0000, 0.5000, 0.0000], [0.5000, 0.0000, 0.0000], [0.5000, 0.5000, 0.5000], [0.2500, 0.2500, 0.2500], [0.2500, 0.7500, 0.7500], [0.7500, 0.2500, 0.7500], [0.7500, 0.7500, 0.2500], [0.2500, 0.2500, 0.7500], [0.2500, 0.7500, 0.2500], [0.7500, 0.2500, 0.2500], [0.7500, 0.7500, 0.7500]],
  "magmom_total_mub_per_atom": 0.000,
  "sg": "F-43m (216)",
  "dft_energy_ev_per_atom": -5.913
}

(4)
{
  "formula": "DyHoAlSi",
  "functional": "GGA-PBE",
  "state": "relaxed",
  "lattice_angstrom": [[3.9761, 0.0000, 0.0000], [0.0000, 4.3269, 0.0000], [0.0000, 0.0000, 10.7941]],
  "species": ["Dy", "Dy", "Ho", "Ho", "Al", "Al", "Si", "Si"],
  "fractional_positions": [[0.0000, 0.0000, 0.0000], [0.0000, 0.5000, 0.5000], [0.5000, 0.0000, 0.2827], [0.5000, 0.5000, 0.7827], [0.5000, 0.0000, 0.5704], [0.5000, 0.5000, 0.0704], [0.0000, 0.0000, 0.7182], [0.0000, 0.5000, 0.2182]],
  "e_form_raw_ev_per_atom": -0.65,
  "magmom_total_mub_per_atom": 0.000,
  "sg": "Amm2 (38)",
  "dft_energy_ev_per_atom": -5.235
}

(5)
{
  "formula": "SmDyHoAl",
  "functional": "GGA-PBE",
  "state": "relaxed",
  "lattice_angstrom": [[3.5196, 0.0000, 0.0000], [0.0000, 3.5196, 0.0000], [0.0000, 0.0000, 9.0555]],
  "species": ["Sm", "Dy", "Ho", "Al"],
  "fractional_positions": [[0.0000, 0.0000, 0.0000], [0.5000, 0.5000, 0.7099], [0.5000, 0.5000, 0.2877], [0.0000, 0.0000, 0.4978]],
  "e_above_lowest_polymorph_ev_per_atom": 0.0000,
  "magmom_total_mub_per_atom": 0.000,
  "sg": "P4mm (99)",
  "dft_energy_ev_per_atom": -4.603
}

(6)
{
  "formula": "SmDyHoAl",
  "functional": "GGA-PBE",
  "state": "relaxed",
  "lattice_angstrom": [[7.5969, 0.0000, 0.0000], [0.0000, 7.5969, 0.0000], [0.0000, 0.0000, 7.5969]],
  "species": ["Sm", "Sm", "Sm", "Sm", "Dy", "Dy", "Dy", "Dy", "Ho", "Ho", "Ho", "Ho", "Al", "Al", "Al", "Al"],
  "fractional_positions": [[0.0000, 0.0000, 0.0000], [0.0000, 0.5000, 0.5000], [0.5000, 0.0000, 0.5000], [0.5000, 0.5000, 0.0000], [0.0000, 0.0000, 0.5000], [0.0000, 0.5000, 0.0000], [0.5000, 0.0000, 0.0000], [0.5000, 0.5000, 0.5000], [0.2500, 0.2500, 0.7500], [0.2500, 0.7500, 0.2500], [0.7500, 0.2500, 0.2500], [0.7500, 0.7500, 0.7500], [0.2500, 0.2500, 0.2500], [0.2500, 0.7500, 0.7500], [0.7500, 0.2500, 0.7500], [0.7500, 0.7500, 0.2500]],
  "e_above_lowest_polymorph_ev_per_atom": 0.1375,
  "magmom_total_mub_per_atom": 0.002,
  "sg": "F-43m (216)",
  "dft_energy_ev_per_atom": -4.466
}

(7)
{
  "formula": "TbDyHoAl",
  "functional": "GGA-PBE",
  "state": "relaxed",
  "lattice_angstrom": [[4.7563, 0.0000, 0.0000], [0.0000, 4.7594, 0.0000], [0.0000, 0.0000, 4.7598]],
  "species": ["Tb", "Dy", "Ho", "Al"],
  "fractional_positions": [[0.0000, 0.0000, 0.0000], [0.0000, 0.5000, 0.5000], [0.5000, 0.0000, 0.5000], [0.5000, 0.5000, 0.0000]],
  "e_above_lowest_polymorph_ev_per_atom": 0.0000,
  "magmom_total_mub_per_atom": 0.000,
  "sg": "Pmmm (47)",
  "dft_energy_ev_per_atom": -4.576
}

(8)
{
  "formula": "TbDyHoAl",
  "functional": "GGA-PBE",
  "state": "relaxed",
  "lattice_angstrom": [[7.5535, 0.0000, 0.0000], [0.0000, 7.5535, 0.0000], [0.0000, 0.0000, 7.5535]],
  "species": ["Tb", "Tb", "Tb", "Tb", "Dy", "Dy", "Dy", "Dy", "Ho", "Ho", "Ho", "Ho", "Al", "Al", "Al", "Al"],
  "fractional_positions": [[0.0000, 0.0000, 0.0000], [0.0000, 0.5000, 0.5000], [0.5000, 0.0000, 0.5000], [0.5000, 0.5000, 0.0000], [0.0000, 0.0000, 0.5000], [0.0000, 0.5000, 0.0000], [0.5000, 0.0000, 0.0000], [0.5000, 0.5000, 0.5000], [0.2500, 0.2500, 0.7500], [0.2500, 0.7500, 0.2500], [0.7500, 0.2500, 0.2500], [0.7500, 0.7500, 0.7500], [0.2500, 0.2500, 0.2500], [0.2500, 0.7500, 0.7500], [0.7500, 0.2500, 0.7500], [0.7500, 0.7500, 0.2500]],
  "e_above_lowest_polymorph_ev_per_atom": 0.1340,
  "magmom_total_mub_per_atom": 0.001,
  "sg": "F-43m (216)",
  "dft_energy_ev_per_atom": -4.442
}